DyPaAl | PBE | optimized geometry

Results
Energy relative to the lowest polymorph listed for this composition, meV/atom: 756
SG: P4/nmm (129)
Energy of formation, eV per formula unit: 2.1
Calculated density, g cm⁻³: 7.9
Density of states at the Fermi level, states/eV per atom: 2.38

Geometry as POSCAR:
```
DyPaAl
1.0
-5.3141 -0.9292 -0.6467
1.1318 -4.4260 -2.9412
-0.0264 -3.3377 5.0125
Dy Pa Al
2 2 2
Cartesian
-2.6793 -3.2785 3.9025
0.5618 -2.7368 -0.6839
-0.0132 -1.6689 2.5063
-2.1043 -4.3465 0.7123
-2.0911 -2.6776 -1.7940
0.0000 0.0000 0.0000
```